[1]
{
  "formula": "KTcO3",
  "functional": "PBE-GGA",
  "state": "relaxed",
  "formation_energy_uncorrected_mev_per_atom": -1612.9,
  "spacegroup": "P-1 (2)",
  "dos_ef_per_ev_fu": 0.0,
  "cell": [[6.512, -0.164, 0.013], [2.036, 4.699, -0.076], [-4.135, -2.034, 5.986]],
  "species": ["K", "K", "O", "O", "O", "Tc", "Tc", "O", "O", "O"],
  "frac_coords": [[0.195, 0.292, 0.223], [0.463, 0.530, 0.876], [0.220, 0.120, 0.822], [0.848, 0.806, 0.329], [0.810, 0.016, 0.770], [0.744, 0.697, 0.496], [0.914, 0.125, 0.602], [0.669, 0.470, 0.617], [0.438, 0.702, 0.276], [0.989, 0.352, 0.482]]
}

[2]
{
  "formula": "AcTb3Dy4",
  "functional": "PBE-GGA",
  "state": "relaxed",
  "spacegroup": "Immm (71)",
  "dos_ef_per_ev_fu": 13.6,
  "ef_mev_per_atom": 163.6,
  "cell": [[3.367, 0.000, 0.872], [1.186, 8.563, 2.356], [-0.504, -1.077, 8.880]],
  "species": ["Ac", "Tb", "Dy", "Tb", "Dy", "Dy", "Tb", "Dy"],
  "frac_coords": [[0.500, 0.000, 0.000], [0.000, 0.500, 0.500], [0.636, 0.118, 0.610], [0.756, 0.244, 0.244], [0.636, 0.610, 0.118], [0.364, 0.882, 0.390], [0.244, 0.756, 0.756], [0.364, 0.390, 0.882]]
}

[3]
{
  "formula": "Y2TeRh2",
  "functional": "PBE-GGA",
  "state": "relaxed",
  "formation_energy_uncorrected_mev_per_atom": -859.3,
  "spacegroup": "P4/mbm (127)",
  "dos_ef_per_ev_fu": 1.7,
  "cell": [[7.504, 0.000, 0.000], [0.000, 7.504, 0.000], [0.000, 0.000, 3.837]],
  "species": ["Y", "Y", "Y", "Rh", "Rh", "Y", "Rh", "Rh", "Te", "Te"],
  "frac_coords": [[0.171, 0.671, 0.500], [0.829, 0.329, 0.500], [0.329, 0.171, 0.500], [0.631, 0.131, 0.000], [0.131, 0.369, 0.000], [0.671, 0.829, 0.500], [0.369, 0.869, 0.000], [0.869, 0.631, 0.000], [0.500, 0.500, 0.000], [0.000, 0.000, 0.000]]
}

[4]
{
  "formula": "LiGdTmMg",
  "functional": "PBE-GGA",
  "state": "relaxed",
  "spacegroup": "F-43m (216)",
  "dos_ef_per_ev_fu": 4.5,
  "ef_mev_per_atom": 36.2,
  "cell": [[5.304, 0.000, 0.000], [2.652, 4.593, 0.000], [2.652, 1.531, 4.331]],
  "species": ["Mg", "Gd", "Li", "Tm"],
  "frac_coords": [[0.500, 0.500, 0.500], [0.750, 0.750, 0.750], [0.000, 0.000, 0.000], [0.250, 0.250, 0.250]]
}

[5]
{
  "formula": "BeMo2N",
  "functional": "PBE-GGA",
  "state": "relaxed",
  "formation_energy_uncorrected_mev_per_atom": 624.2,
  "spacegroup": "I-42d (122)",
  "dos_ef_per_ev_fu": 6.2,
  "cell": [[4.684, 0.000, 0.000], [0.000, 4.684, 0.000], [2.342, 2.342, 5.256]],
  "species": ["Be", "Mo", "N", "N", "Mo", "Mo", "Be", "Mo"],
  "frac_coords": [[0.250, 0.750, 0.500], [0.375, 0.313, 0.750], [0.750, 0.250, 0.500], [0.000, 0.000, 0.000], [0.875, 0.937, 0.750], [0.063, 0.625, 0.250], [0.500, 0.500, 0.000], [0.687, 0.125, 0.250]]
}

[6]
{
  "formula": "Rb4AlSn4",
  "functional": "PBE-GGA",
  "state": "relaxed",
  "spacegroup": "I-42m (121)",
  "dos_ef_per_ev_fu": 9.7,
  "ef_mev_per_atom": 73.8,
  "cell": [[-4.997, -5.252, -1.149], [9.081, -3.305, -0.946], [2.313, -3.516, 6.013]],
  "species": ["Al", "Sn", "Rb", "Sn", "Sn", "Sn", "Rb", "Rb", "Rb"],
  "frac_coords": [[0.000, 0.000, 0.000], [0.718, 0.719, 0.282], [0.543, 0.731, 0.812], [0.282, 0.281, 0.001], [0.999, 0.281, 0.718], [0.001, 0.719, 0.999], [0.188, 0.731, 0.457], [0.812, 0.269, 0.188], [0.457, 0.269, 0.543]]
}

no.,density (Mg/m³)
1,3.3
2,8.4
3,7.9
4,5.6
5,6.2
6,3.2